(1)
A plane-wave DFT calculation with PBE was carried out for crystalline Na2AsPbS4 at its relaxed geometry.

Values from the calculation:
- Total DFT energy (no corrections): -3.976 eV/atom
- DOS at the Fermi energy: 9.74 states/eV per cell
- Formation energy (no corrections): -415 kJ/mol of formula units
- Total magnetization: 0.00 μB per formula unit

```
data_Na2AsPbS4
_chemical_formula_sum 'Na8 As4 Pb4 S16'
_cell_length_a 7.831
_cell_length_b 8.048
_cell_length_c 11.287
_cell_angle_alpha 90.00
_cell_angle_beta 90.00
_cell_angle_gamma 90.00
_space_group_name_H-M_alt 'I m m a'
_space_group_IT_number 74
_space_group_name_Hall '-I 2b 2'
loop_
_atom_site_label
_atom_site_fract_x
_atom_site_fract_y
_atom_site_fract_z
Na1 0.000 0.000 0.000
Na2 0.250 0.250 0.250
As1 0.250 0.250 0.750
Pb1 0.000 0.000 0.500
S1 0.000 0.027 0.751
S2 0.247 0.250 0.983
```


(2)
A plane-wave DFT calculation with PBE was carried out for crystalline NaAsPbS4 at its relaxed geometry.

Values from the calculation:
- Total DFT energy (no corrections): -4.050 eV/atom
- DOS at the Fermi energy: 7.52 states/eV per cell
- Formation energy (no corrections): -209 kJ/mol of formula units
- Total magnetization: 0.00 μB per formula unit

```
data_NaAsPbS4
_chemical_formula_sum 'Na4 As4 Pb4 S16'
_cell_length_a 7.922
_cell_length_b 8.010
_cell_length_c 11.089
_cell_angle_alpha 90.00
_cell_angle_beta 90.00
_cell_angle_gamma 90.00
_space_group_name_H-M_alt 'I m m a'
_space_group_IT_number 74
_space_group_name_Hall '-I 2b 2'
loop_
_atom_site_label
_atom_site_fract_x
_atom_site_fract_y
_atom_site_fract_z
Na1 0.250 0.250 0.250
As1 0.000 0.250 0.628
Pb1 0.000 0.000 0.000
S1 0.000 0.020 0.736
S2 0.231 0.250 0.508
```


(3)
A plane-wave DFT calculation with PBE was carried out for crystalline NaSc2AsPb at its relaxed geometry.

Values from the calculation:
- Total DFT energy (no corrections): -4.870 eV/atom
- Formation enthalpy at 0 K: -0.402 eV/atom
- DOS at the Fermi energy: 1.43 states/eV per cell
- Total magnetization: 0.00 μB per formula unit

```
data_NaSc2AsPb
_chemical_formula_sum 'Na1 Sc2 As1 Pb1'
_cell_length_a 5.107
_cell_length_b 5.107
_cell_length_c 5.105
_cell_angle_alpha 90.00
_cell_angle_beta 90.00
_cell_angle_gamma 90.00
_space_group_name_H-M_alt 'P 4/m m m'
_space_group_IT_number 123
_space_group_name_Hall '-P 4 2'
loop_
_atom_site_label
_atom_site_fract_x
_atom_site_fract_y
_atom_site_fract_z
Na1 0.000 0.000 0.000
Sc1 0.000 0.500 0.500
As1 0.000 0.000 0.500
Pb1 0.500 0.500 0.000
```


(4)
A plane-wave DFT calculation with PBE was carried out for crystalline NaAsPbSe2 at its relaxed geometry.

Values from the calculation:
- Total DFT energy (no corrections): -2.886 eV/atom
- DOS at the Fermi energy: 4.80 states/eV per cell
- Formation energy (no corrections): 214 kJ/mol of formula units
- Total magnetization: 0.00 μB per formula unit

```
data_NaAsPbSe2
_chemical_formula_sum 'Na1 As1 Pb1 Se2'
_cell_length_a 5.267
_cell_length_b 5.267
_cell_length_c 4.933
_cell_angle_alpha 90.00
_cell_angle_beta 90.00
_cell_angle_gamma 90.00
_space_group_name_H-M_alt 'P 4/m m m'
_space_group_IT_number 123
_space_group_name_Hall '-P 4 2'
loop_
_atom_site_label
_atom_site_fract_x
_atom_site_fract_y
_atom_site_fract_z
Na1 0.000 0.000 0.000
As1 0.000 0.000 0.500
Pb1 0.500 0.500 0.500
Se1 0.000 0.500 0.000
```